Record 1
Here is a geometry-optimized MnRh2W structure from Alexandria. Energies are from PBE.

Cell and atoms, written as CIF:
```
data_MnRh2W
_symmetry_space_group_name_H-M 'P 4 m m'
_symmetry_Int_Tables_number 99
_cell_length_a 2.713
_cell_length_b 2.713
_cell_length_c 7.609
_cell_angle_alpha 90.00
_cell_angle_beta 90.00
_cell_angle_gamma 90.00
loop_
_symmetry_equiv_pos_as_xyz
'x,y,z'
'-y,x,z'
'-x,-y,z'
'y,-x,z'
'-x,y,z'
'y,x,z'
'x,-y,z'
'-y,-x,z'
loop_
_atom_site_label
_atom_site_type_symbol
_atom_site_fract_x
_atom_site_fract_y
_atom_site_fract_z
Mn1 Mn 0.000 0.000 0.000
Rh1 Rh 0.000 0.000 0.494
Rh2 Rh 0.500 0.500 0.222
W1 W 0.500 0.500 0.746
```

Output
The density of states at the Fermi level is 3.522 states/eV/f.u. Its formation energy from the elements is -1.01 kJ/mol of atoms.

=====

Record 2
Here is a geometry-optimized CsNaPb2 structure from Alexandria. Energies are from PBE.

Cell and atoms, written as CIF:
```
data_CsNaPb2
_symmetry_space_group_name_H-M 'F m -3 m'
_symmetry_Int_Tables_number 225
_symmetry_space_group_name_Hall '-F 4 2 3'
_cell_length_a 8.430
_cell_length_b 8.430
_cell_length_c 8.430
_cell_angle_alpha 90.00
_cell_angle_beta 90.00
_cell_angle_gamma 90.00
loop_
_atom_site_label
_atom_site_type_symbol
_atom_site_fract_x
_atom_site_fract_y
_atom_site_fract_z
Cs1 Cs 0.000 0.000 0.000
Na1 Na 0.000 0.000 0.500
Pb1 Pb 0.250 0.250 0.250
```

Output
The density of states at the Fermi level is 1.157 states/eV/f.u. Its formation energy from the elements is 10.13 kJ/mol of atoms.

=====

Record 3
Here is a geometry-optimized Er4MgTl3 structure from Alexandria. Energies are from PBE.

Cell and atoms, written as CIF:
```
data_Er4MgTl3
_symmetry_space_group_name_H-M 'C 1 2/m 1'
_symmetry_Int_Tables_number 12
_cell_length_a 15.823
_cell_length_b 5.335
_cell_length_c 5.335
_cell_angle_alpha 90.00
_cell_angle_beta 109.65
_cell_angle_gamma 90.00
loop_
_symmetry_equiv_pos_as_xyz
'x,y,z'
'-x,-y,-z'
'-x,y,-z'
'x,-y,z'
'x+1/2,y+1/2,z'
'-x+1/2,-y+1/2,-z'
'-x+1/2,y+1/2,-z'
'x+1/2,-y+1/2,z'
loop_
_atom_site_label
_atom_site_type_symbol
_atom_site_fract_x
_atom_site_fract_y
_atom_site_fract_z
Er1 Er 0.125 0.000 0.125
Er2 Er 0.125 0.500 0.625
Mg1 Mg 0.000 0.000 0.500
Tl1 Tl 0.000 0.500 0.000
Tl2 Tl 0.245 0.000 0.745
```

Output
The density of states at the Fermi level is 7.305 states/eV/f.u. Its formation energy from the elements is -25.18 kJ/mol of atoms.

=====

Record 4
Here is a geometry-optimized ZnHgBr2 structure from Alexandria. Energies are from PBE.

Cell and atoms, written as CIF:
```
data_ZnHgBr2
_symmetry_space_group_name_H-M 'C m m 2'
_symmetry_Int_Tables_number 35
_cell_length_a 3.707
_cell_length_b 7.806
_cell_length_c 9.325
_cell_angle_alpha 90.00
_cell_angle_beta 90.00
_cell_angle_gamma 90.00
loop_
_symmetry_equiv_pos_as_xyz
'x,y,z'
'-x,-y,z'
'-x,y,z'
'x,-y,z'
'x+1/2,y+1/2,z'
'-x+1/2,-y+1/2,z'
'-x+1/2,y+1/2,z'
'x+1/2,-y+1/2,z'
loop_
_atom_site_label
_atom_site_type_symbol
_atom_site_fract_x
_atom_site_fract_y
_atom_site_fract_z
Zn1 Zn 0.000 0.000 0.000
Hg1 Hg 0.000 0.500 0.782
Br1 Br 0.000 0.000 0.565
Br2 Br 0.000 0.500 0.180
```

Output
As for the formation energy (no corrections): -0.29 eV per atom.